Record 1
# PBE Cu3Ir5, optimized geometry
data_Cu3Ir5
_chemical_formula_sum 'Cu6 Ir10'
_cell_length_a 7.3082
_cell_length_b 7.3082
_cell_length_c 4.8867
_cell_angle_alpha 90.00
_cell_angle_beta 90.00
_cell_angle_gamma 120.00
_symmetry_space_group_name_H-M 'P 63/m c m'
_symmetry_Int_Tables_number 193
_symmetry_space_group_name_Hall '-P 6c 2'
loop_
_atom_site_label
_atom_site_fract_x
_atom_site_fract_y
_atom_site_fract_z
Cu1 0.0000 0.4087 0.2500
Ir1 0.0000 0.2117 0.7500
Ir2 0.3333 0.6667 0.0000
# Distance to the lowest polymorph of the same formula, eV/f.u.: 2.284
# Formation energy, eV/atom: 0.493

---

Record 2
# PBE Cu3Ir, optimized geometry
data_Cu3Ir
_chemical_formula_sum 'Cu3 Ir1'
_cell_length_a 2.696
_cell_length_b 4.294
_cell_length_c 4.415
_cell_angle_alpha 90.00
_cell_angle_beta 90.00
_cell_angle_gamma 90.00
_symmetry_space_group_name_H-M 'P m m 2'
_symmetry_Int_Tables_number 25
loop_
_symmetry_equiv_pos_as_xyz
'x,y,z'
'-x,-y,z'
'-x,y,z'
'x,-y,z'
loop_
_atom_site_label
_atom_site_fract_x
_atom_site_fract_y
_atom_site_fract_z
Cu1 0.000 0.000 0.000
Cu2 0.000 0.500 0.371
Cu3 0.500 0.000 0.503
Ir1 0.500 0.500 0.874
# Formation energy, eV/atom: 0.090

---

Record 3
# PBE Cu3Ir, optimized geometry
data_Cu3Ir
_chemical_formula_sum 'Cu6 Ir2'
_cell_length_a 4.283
_cell_length_b 5.291
_cell_length_c 4.490
_cell_angle_alpha 90.00
_cell_angle_beta 90.00
_cell_angle_gamma 90.00
_symmetry_space_group_name_H-M 'P m m n'
_symmetry_Int_Tables_number 59
loop_
_symmetry_equiv_pos_as_xyz
'x,y,z'
'-x,-y,-z'
'-x+1/2,-y+1/2,z'
'x+1/2,y+1/2,-z'
'x+1/2,-y,-z'
'-x+1/2,y,z'
'-x,y+1/2,-z'
'x,-y+1/2,z'
loop_
_atom_site_label
_atom_site_fract_x
_atom_site_fract_y
_atom_site_fract_z
Cu1 0.250 0.000 0.170
Cu2 0.250 0.250 0.672
Ir1 0.250 0.750 0.674
# Formation energy, eV/atom: 0.153

---

Record 4
# PBE Cu4Ir, optimized geometry
data_Cu4Ir
_chemical_formula_sum 'Cu4 Ir1'
_cell_length_a 4.625
_cell_length_b 4.625
_cell_length_c 4.625
_cell_angle_alpha 90.00
_cell_angle_beta 90.00
_cell_angle_gamma 90.00
_symmetry_space_group_name_H-M 'P m -3 m'
_symmetry_Int_Tables_number 221
_symmetry_space_group_name_Hall '-P 4 2 3'
loop_
_atom_site_label
_atom_site_fract_x
_atom_site_fract_y
_atom_site_fract_z
Cu1 0.000 0.000 0.000
Cu2 0.000 0.500 0.500
Ir1 0.500 0.500 0.500
# Distance to the lowest polymorph of the same formula, eV/f.u.: 4.863
# Formation energy, eV/atom: 1.278

---

Record 5
# PBE Cu4Ir, optimized geometry
data_Cu4Ir
_chemical_formula_sum 'Cu8 Ir2'
_cell_length_a 3.370
_cell_length_b 3.370
_cell_length_c 11.739
_cell_angle_alpha 90.00
_cell_angle_beta 90.00
_cell_angle_gamma 90.00
_symmetry_space_group_name_H-M 'I 4/m m m'
_symmetry_Int_Tables_number 139
_symmetry_space_group_name_Hall '-I 4 2'
loop_
_atom_site_label
_atom_site_fract_x
_atom_site_fract_y
_atom_site_fract_z
Cu1 0.000 0.000 0.099
Cu2 0.000 0.500 0.250
Ir1 0.000 0.000 0.500
# Distance to the lowest polymorph of the same formula, eV/f.u.: 0.803
# Formation energy, eV/atom: 0.466

---

Record 6
# PBE Cu5Ir, optimized geometry
data_Cu5Ir
_chemical_formula_sum 'Cu5 Ir1'
_cell_length_a 4.6871
_cell_length_b 4.6871
_cell_length_c 4.1196
_cell_angle_alpha 90.00
_cell_angle_beta 90.00
_cell_angle_gamma 120.00
_symmetry_space_group_name_H-M 'P 6/m m m'
_symmetry_Int_Tables_number 191
_symmetry_space_group_name_Hall '-P 6 2'
loop_
_atom_site_label
_atom_site_fract_x
_atom_site_fract_y
_atom_site_fract_z
Cu1 0.0000 0.5000 0.0000
Cu2 0.3333 0.6667 0.5000
Ir1 0.0000 0.0000 0.5000
# Distance to the lowest polymorph of the same formula, eV/f.u.: 1.873
# Formation energy, eV/atom: 0.361

---

Record 7
# PBE Cu4Ir, optimized geometry
data_Cu4Ir
_chemical_formula_sum 'Cu8 Ir2'
_cell_length_a 5.382
_cell_length_b 5.382
_cell_length_c 4.750
_cell_angle_alpha 90.00
_cell_angle_beta 90.00
_cell_angle_gamma 90.00
_symmetry_space_group_name_H-M 'P 4/m c c'
_symmetry_Int_Tables_number 124
_symmetry_space_group_name_Hall '-P 4 2c'
loop_
_atom_site_label
_atom_site_fract_x
_atom_site_fract_y
_atom_site_fract_z
Cu1 0.120 0.297 0.000
Ir1 0.500 0.500 0.250
# Distance to the lowest polymorph of the same formula, eV/f.u.: 0.000
# Formation energy, eV/atom: 0.305

---

Record 8
# PBE Cu3Ir, optimized geometry
data_Cu3Ir
_chemical_formula_sum 'Cu3 Ir1'
_cell_length_a 2.668
_cell_length_b 2.668
_cell_length_c 7.153
_cell_angle_alpha 90.00
_cell_angle_beta 90.00
_cell_angle_gamma 90.00
_symmetry_space_group_name_H-M 'P 4/m m m'
_symmetry_Int_Tables_number 123
_symmetry_space_group_name_Hall '-P 4 2'
loop_
_atom_site_label
_atom_site_fract_x
_atom_site_fract_y
_atom_site_fract_z
Cu1 0.000 0.000 0.000
Cu2 0.500 0.500 0.239
Ir1 0.000 0.000 0.500
# Formation energy, eV/atom: 0.114

---

Record 9
# PBE Cu3Ir, optimized geometry
data_Cu3Ir
_chemical_formula_sum 'Cu12 Ir4'
_cell_length_a 5.990
_cell_length_b 8.206
_cell_length_c 4.113
_cell_angle_alpha 90.00
_cell_angle_beta 90.00
_cell_angle_gamma 90.00
_symmetry_space_group_name_H-M 'C m c m'
_symmetry_Int_Tables_number 63
_symmetry_space_group_name_Hall '-C 2c 2'
loop_
_atom_site_label
_atom_site_fract_x
_atom_site_fract_y
_atom_site_fract_z
Cu1 0.000 0.141 0.250
Cu2 0.225 0.126 0.750
Ir1 0.000 0.391 0.750
# Formation energy, eV/atom: 0.127

---

Record 10
# PBE Cu3Ir2, optimized geometry
data_Cu3Ir2
_chemical_formula_sum 'Cu9 Ir6'
_cell_length_a 2.6823
_cell_length_b 2.6823
_cell_length_c 31.8943
_cell_angle_alpha 90.00
_cell_angle_beta 90.00
_cell_angle_gamma 120.00
_symmetry_space_group_name_H-M 'R -3 m'
_symmetry_Int_Tables_number 166
_symmetry_space_group_name_Hall '-R 3 2"'
loop_
_atom_site_label
_atom_site_fract_x
_atom_site_fract_y
_atom_site_fract_z
Cu1 0.0000 0.0000 0.0000
Cu2 0.0000 0.0000 0.1983
Ir1 0.0000 0.0000 0.4008
# Distance to the lowest polymorph of the same formula, eV/f.u.: 0.140
# Formation energy, eV/atom: 0.083

---

Record 11
# PBE Cu3Ir, optimized geometry
data_Cu3Ir
_chemical_formula_sum 'Cu12 Ir4'
_cell_length_a 5.890
_cell_length_b 5.890
_cell_length_c 5.890
_cell_angle_alpha 90.00
_cell_angle_beta 90.00
_cell_angle_gamma 90.00
_symmetry_space_group_name_H-M 'F m -3 m'
_symmetry_Int_Tables_number 225
_symmetry_space_group_name_Hall '-F 4 2 3'
loop_
_atom_site_label
_atom_site_fract_x
_atom_site_fract_y
_atom_site_fract_z
Cu1 0.000 0.000 0.000
Cu2 0.250 0.250 0.250
Ir1 0.000 0.000 0.500
# Formation energy, eV/atom: 0.189

---

Record 12
# PBE CuIr8, optimized geometry
data_CuIr8
_chemical_formula_sum 'Cu2 Ir16'
_cell_length_a 8.185
_cell_length_b 8.185
_cell_length_c 3.865
_cell_angle_alpha 90.00
_cell_angle_beta 90.00
_cell_angle_gamma 90.00
_symmetry_space_group_name_H-M 'I 4/m m m'
_symmetry_Int_Tables_number 139
_symmetry_space_group_name_Hall '-I 4 2'
loop_
_atom_site_label
_atom_site_fract_x
_atom_site_fract_y
_atom_site_fract_z
Cu1 0.000 0.000 0.000
Ir1 0.000 0.333 0.000
Ir2 0.169 0.169 0.500
# Formation energy, eV/atom: 0.078